Compound: LaHoPd2
Source: Alexandria
Functional: PBE
Structure: optimized geometry

a b c (Å): 3.8447 4.6289 5.7185
angles (deg): 90.00 109.59 90.00
Positions (direct):
La (0.7208, 0.0000, 0.9813)
Ho (0.4490, 0.5000, 0.4362)
Pd (0.1670, 0.5000, 0.8740)
Pd (0.9942, 0.0000, 0.5265)

Output
calculated total energy: -5.841 eV/atom
ΔE to the lowest computed polymorph: 0.00 eV/f.u.
crystal system: orthorhombic